PBE-GGA TlFe3, relaxed; space-group type = R-3m, No. 166; total energy = -6.36 eV/atom; energy relative to the elements = 0.582 eV/atom
1.0
1.4673 0.8471 8.2854
-1.4673 0.8471 8.2854
0.0000 -1.6943 8.2854
Tl Fe
1 3
direct
0.0000 0.0000 0.0000
0.2393 0.2393 0.2393
0.5000 0.5000 0.5000
0.7607 0.7607 0.7607

=====

PBE-GGA TlFe, relaxed; space-group type = Amm2, No. 38; total energy = -5.00 eV/atom; energy relative to the elements = 0.419 eV/atom
1.0
3.0653 0.0000 0.0000
0.0000 5.9427 3.3015
0.0000 -5.9427 3.3015
Tl Fe
3 3
direct
0.0000 0.0000 0.0000
0.5000 0.4472 0.9209
0.5000 0.9209 0.4472
0.0000 0.3026 0.5010
0.0000 0.5010 0.3026
0.5000 0.6212 0.6212

=====

PBE-GGA Tl5Fe, relaxed; space-group type = P6/mmm, No. 191; total energy = -2.70 eV/atom; E above lowest polymorph = 394 meV per atom; energy relative to the elements = 0.684 eV/atom
1.0
6.1228 0.0000 0.0000
-3.0614 5.3025 0.0000
0.0000 0.0000 5.9769
Tl Fe
5 1
direct
0.0000 0.5000 0.0000
0.3333 0.6667 0.5000
0.5000 0.0000 0.0000
0.5000 0.5000 0.0000
0.6667 0.3333 0.5000
0.0000 0.0000 0.5000

=====

PBE-GGA Tl2Fe, relaxed; space-group type = P6_3/mmc, No. 194; total energy = -3.37 eV/atom; energy relative to the elements = 1.033 eV/atom
1.0
6.0758 0.0000 0.0000
-3.0379 5.2618 0.0000
0.0000 0.0000 10.7931
Tl Fe
8 4
direct
0.0000 0.0000 0.0000
0.0000 0.0000 0.5000
0.1685 0.3370 0.2500
0.1685 0.8315 0.2500
0.3370 0.1685 0.7500
0.6630 0.8315 0.2500
0.8315 0.1685 0.7500
0.8315 0.6630 0.7500
0.3333 0.6667 0.0280
0.3333 0.6667 0.4720
0.6667 0.3333 0.5280
0.6667 0.3333 0.9720

=====

PBE-GGA TlFe, relaxed; space-group type = Imma, No. 74; total energy = -4.89 eV/atom; energy relative to the elements = 0.524 eV/atom
1.0
-1.5456 2.3102 5.4024
1.5456 -2.3102 5.4024
1.5456 2.3102 -5.4024
Tl Fe
2 2
direct
0.3587 0.1087 0.2500
0.6413 0.8913 0.7500
0.0839 0.3339 0.7500
0.9161 0.6661 0.2500

=====

PBE-GGA Tl5Fe, relaxed; space-group type = P-62m, No. 189; total energy = -2.99 eV/atom; E above lowest polymorph = 107 meV per atom; energy relative to the elements = 0.397 eV/atom
1.0
8.0431 0.0000 0.0000
-4.0215 6.9655 0.0000
0.0000 0.0000 3.2781
Tl Fe
5 1
direct
0.0000 0.7211 0.0000
0.2789 0.2789 0.0000
0.3333 0.6667 0.5000
0.6667 0.3333 0.5000
0.7211 0.0000 0.0000
0.0000 0.0000 0.5000

=====

PBE-GGA TlFe, relaxed; space-group type = I4/m, No. 87; total energy = -5.01 eV/atom; energy relative to the elements = 0.401 eV/atom
1.0
-5.0523 5.0523 1.5636
5.0523 -5.0523 1.5636
5.0523 5.0523 -1.5636
Tl Fe
4 4
direct
0.1316 0.1743 0.3059
0.1743 0.8684 0.0427
0.8257 0.1316 0.9573
0.8684 0.8257 0.6941
0.1310 0.4763 0.6073
0.4763 0.8690 0.3454
0.5237 0.1310 0.6546
0.8690 0.5237 0.3927

=====

PBE-GGA TlFe3, relaxed; space-group type = P-6m2, No. 187; total energy = -6.37 eV/atom; energy relative to the elements = 0.569 eV/atom
1.0
2.9788 0.0000 0.0000
-1.4894 2.5797 0.0000
0.0000 0.0000 8.1199
Tl Fe
1 3
direct
0.0000 0.0000 0.0000
0.0000 0.0000 0.5000
0.3333 0.6667 0.2884
0.3333 0.6667 0.7116

=====

PBE-GGA TlFe2, relaxed; space-group type = I4/mmm, No. 139; total energy = -6.02 eV/atom; energy relative to the elements = 0.412 eV/atom
1.0
-1.5930 1.5930 4.6744
1.5930 -1.5930 4.6744
1.5930 1.5930 -4.6744
Tl Fe
1 2
direct
0.0000 0.0000 0.0000
0.3064 0.3064 0.0000
0.6936 0.6936 0.0000

=====

PBE-GGA TlFe, relaxed; space-group type = P-6m2, No. 187; total energy = -4.71 eV/atom; energy relative to the elements = 0.705 eV/atom
1.0
3.1189 0.0000 0.0000
-1.5595 2.7011 0.0000
0.0000 0.0000 4.4606
Tl Fe
1 1
direct
0.0000 0.0000 0.0000
0.3333 0.6667 0.5000

=====

PBE-GGA TlFe2, relaxed; space-group type = Pnnm, No. 58; total energy = -5.77 eV/atom; energy relative to the elements = 0.664 eV/atom
1.0
2.8993 0.0000 0.0000
0.0000 7.2238 0.0000
0.0000 0.0000 4.8245
Tl Fe
2 4
direct
0.0000 0.0000 0.0000
0.5000 0.5000 0.5000
0.2477 0.3641 0.0000
0.2523 0.8641 0.5000
0.7477 0.1359 0.5000
0.7523 0.6359 0.0000

=====

PBE-GGA TlFe2, relaxed; space-group type = P4/mmm, No. 123; total energy = -5.82 eV/atom; energy relative to the elements = 0.613 eV/atom
1.0
3.3846 0.0000 0.0000
0.0000 3.3846 0.0000
0.0000 0.0000 4.5678
Tl Fe
1 2
direct
0.0000 0.0000 0.0000
0.0000 0.5000 0.5000
0.5000 0.0000 0.5000